1.
As2SeSO | Alexandria via LeMat-Bulk | PBE | optimized geometry; formation energy from raw total energies = 15.24 kcal/mol of atoms; mass density = 5.16 g/cm³; total DFT energy (no corrections) = -3.713 eV/atom; total magnetization = 0.000 μB per atom
1.0
4.520 0.000 0.000
0.000 4.520 0.000
0.000 0.000 4.358
As Se S O
2 1 1 1
Direct
0.000 0.500 0.000
0.500 0.000 0.000
0.000 0.000 0.500
0.500 0.500 0.500
0.000 0.000 0.000

2.
TeAsS2O | Alexandria via LeMat-Bulk | PBE | optimized geometry; formation energy from raw total energies = 32.37 kcal/mol of atoms; mass density = 3.48 g/cm³; total DFT energy (no corrections) = -2.797 eV/atom; total magnetization = 0.000 μB per atom
1.0
4.894 0.000 0.000
0.000 4.894 0.000
0.000 0.000 5.630
Te As S O
1 1 2 1
Direct
0.000 0.000 0.000
0.000 0.000 0.500
0.000 0.500 0.000
0.500 0.000 0.000
0.500 0.500 0.500

What did the first record say?
As2SeSO | Alexandria via LeMat-Bulk | PBE | optimized geometry; formation energy from raw total energies = 15.24 kcal/mol of atoms; mass density = 5.16 g/cm³; total DFT energy (no corrections) = -3.713 eV/atom; total magnetization = 0.000 μB per atom
1.0
4.520 0.000 0.000
0.000 4.520 0.000
0.000 0.000 4.358
As Se S O
2 1 1 1
Direct
0.000 0.500 0.000
0.500 0.000 0.000
0.000 0.000 0.500
0.500 0.500 0.500
0.000 0.000 0.000

- Which of these has the highest total DFT energy (no corrections)?
  TeAsS2O